No. 1
The following is a DFT calculation (GGA-PBE) of a relaxed structure of KZrCl2.

```
data_KZrCl2
_chemical_formula_sum 'K1 Zr1 Cl2'
_cell_length_a 9.0037
_cell_length_b 9.0037
_cell_length_c 9.0037
_cell_angle_alpha 22.30
_cell_angle_beta 22.30
_cell_angle_gamma 22.30
_symmetry_space_group_name_H-M 'P 1'
_symmetry_Int_Tables_number 1
_symmetry_space_group_name_Hall 'P 1'
loop_
_atom_site_label
_atom_site_type_symbol
_atom_site_fract_x
_atom_site_fract_y
_atom_site_fract_z
K1 K 0.0000 0.0000 0.0000
Zr1 Zr 0.5000 0.5000 0.5000
Cl1 Cl 0.2380 0.2380 0.2380
Cl2 Cl 0.7620 0.7620 0.7620
```

## Properties
N(E_F) (states/eV/cell): 1.48
Spin magnetization (μB per atom): 0.000
Polymorph energy (0 for the lowest one) (meV/atom): 59.8
ΔE_f (raw) (eV/atom): -1.06
Mass density (kg/m³): 3626



No. 2
The following is a DFT calculation (GGA-PBE) of a relaxed structure of KZr2Cl.

```
data_KZr2Cl
_chemical_formula_sum 'K1 Zr2 Cl1'
_cell_length_a 3.4547
_cell_length_b 4.7174
_cell_length_c 7.2238
_cell_angle_alpha 90.00
_cell_angle_beta 90.00
_cell_angle_gamma 90.00
_symmetry_space_group_name_H-M 'P 1'
_symmetry_Int_Tables_number 1
_symmetry_space_group_name_Hall 'P 1'
loop_
_atom_site_label
_atom_site_type_symbol
_atom_site_fract_x
_atom_site_fract_y
_atom_site_fract_z
K1 K 0.0000 0.0000 0.0000
Zr1 Zr 0.0000 0.5000 0.5000
Zr2 Zr 0.5000 0.0000 0.5000
Cl1 Cl 0.5000 0.5000 0.0000
```

## Properties
N(E_F) (states/eV/cell): 3.89
Spin magnetization (μB per atom): 0.000
Polymorph energy (0 for the lowest one) (meV/atom): 569.2
ΔE_f (raw) (eV/atom): 0.10
Mass density (kg/m³): 3625



No. 3
The following is a DFT calculation (GGA-PBE) of a relaxed structure of KZrCl.

```
data_KZrCl
_chemical_formula_sum 'K1 Zr1 Cl1'
_cell_length_a 7.6645
_cell_length_b 7.6645
_cell_length_c 7.6645
_cell_angle_alpha 155.49
_cell_angle_beta 155.49
_cell_angle_gamma 34.93
_symmetry_space_group_name_H-M 'P 1'
_symmetry_Int_Tables_number 1
_symmetry_space_group_name_Hall 'P 1'
loop_
_atom_site_label
_atom_site_type_symbol
_atom_site_fract_x
_atom_site_fract_y
_atom_site_fract_z
K1 K 0.0000 0.0000 0.0000
Zr1 Zr 0.7200 0.7200 0.0000
Cl1 Cl 0.3386 0.3386 0.0000
```

## Properties
N(E_F) (states/eV/cell): 2.34
Spin magnetization (μB per atom): 0.110
Polymorph energy (0 for the lowest one) (meV/atom): 185.2
ΔE_f (raw) (eV/atom): -0.28
Mass density (kg/m³): 3557



No. 4
The following is a DFT calculation (GGA-PBE) of a relaxed structure of KZr2Cl.

```
data_KZr2Cl
_chemical_formula_sum 'K1 Zr2 Cl1'
_cell_length_a 3.1683
_cell_length_b 3.1683
_cell_length_c 10.1481
_cell_angle_alpha 90.00
_cell_angle_beta 90.00
_cell_angle_gamma 90.00
_symmetry_space_group_name_H-M 'P 1'
_symmetry_Int_Tables_number 1
_symmetry_space_group_name_Hall 'P 1'
loop_
_atom_site_label
_atom_site_type_symbol
_atom_site_fract_x
_atom_site_fract_y
_atom_site_fract_z
K1 K 0.0000 0.0000 0.0000
Zr1 Zr 0.5000 0.5000 0.3319
Zr2 Zr 0.5000 0.5000 0.6681
Cl1 Cl 0.0000 0.0000 0.5000
```

## Properties
N(E_F) (states/eV/cell): 2.05
Spin magnetization (μB per atom): 0.000
Polymorph energy (0 for the lowest one) (meV/atom): 718.9
ΔE_f (raw) (eV/atom): 0.25
Mass density (kg/m³): 4189



No. 5
The following is a DFT calculation (GGA-PBE) of a relaxed structure of KZrCl6.

```
data_KZrCl6
_chemical_formula_sum 'K1 Zr1 Cl6'
_cell_length_a 8.0145
_cell_length_b 8.0145
_cell_length_c 8.0145
_cell_angle_alpha 60.00
_cell_angle_beta 60.00
_cell_angle_gamma 60.00
_symmetry_space_group_name_H-M 'P 1'
_symmetry_Int_Tables_number 1
_symmetry_space_group_name_Hall 'P 1'
loop_
_atom_site_label
_atom_site_type_symbol
_atom_site_fract_x
_atom_site_fract_y
_atom_site_fract_z
K1 K 0.0000 0.0000 0.0000
Zr1 Zr 0.5000 0.5000 0.5000
Cl1 Cl 0.2814 0.2814 0.7186
Cl2 Cl 0.2814 0.7186 0.2814
Cl3 Cl 0.2814 0.7186 0.7186
Cl4 Cl 0.7186 0.2814 0.2814
Cl5 Cl 0.7186 0.2814 0.7186
Cl6 Cl 0.7186 0.7186 0.2814
```

## Properties
N(E_F) (states/eV/cell): 11.23
Spin magnetization (μB per atom): 0.146
ΔE_f (raw) (eV/atom): -1.50
Mass density (kg/m³): 1565



No. 6
The following is a DFT calculation (GGA-PBE) of a relaxed structure of KZrCl2.

```
data_KZrCl2
_chemical_formula_sum 'K1 Zr1 Cl2'
_cell_length_a 5.2668
_cell_length_b 5.2668
_cell_length_c 5.2668
_cell_angle_alpha 60.00
_cell_angle_beta 60.00
_cell_angle_gamma 60.00
_symmetry_space_group_name_H-M 'P 1'
_symmetry_Int_Tables_number 1
_symmetry_space_group_name_Hall 'P 1'
loop_
_atom_site_label
_atom_site_type_symbol
_atom_site_fract_x
_atom_site_fract_y
_atom_site_fract_z
K1 K 0.0000 0.0000 0.0000
Zr1 Zr 0.2500 0.2500 0.2500
Cl1 Cl 0.5000 0.5000 0.5000
Cl2 Cl 0.7500 0.7500 0.7500
```

## Properties
N(E_F) (states/eV/cell): 7.58
Spin magnetization (μB per atom): 0.748
Polymorph energy (0 for the lowest one) (meV/atom): 1163.4
ΔE_f (raw) (eV/atom): 0.04
Mass density (kg/m³): 3234



No. 7
The following is a DFT calculation (GGA-PBE) of a relaxed structure of K2Zr7Cl18.

```
data_K2Zr7Cl18
_chemical_formula_sum 'K2 Zr7 Cl18'
_cell_length_a 10.3991
_cell_length_b 10.3991
_cell_length_c 10.3991
_cell_angle_alpha 55.73
_cell_angle_beta 55.73
_cell_angle_gamma 55.73
_symmetry_space_group_name_H-M 'P 1'
_symmetry_Int_Tables_number 1
_symmetry_space_group_name_Hall 'P 1'
loop_
_atom_site_label
_atom_site_type_symbol
_atom_site_fract_x
_atom_site_fract_y
_atom_site_fract_z
K1 K 0.2239 0.2239 0.2239
K2 K 0.7761 0.7761 0.7761
Zr1 Zr 0.1003 0.2081 0.8385
Zr2 Zr 0.1615 0.8997 0.7919
Zr3 Zr 0.2081 0.8385 0.1003
Zr4 Zr 0.5000 0.5000 0.5000
Zr5 Zr 0.7919 0.1615 0.8997
Zr6 Zr 0.8385 0.1003 0.2081
Zr7 Zr 0.8997 0.7919 0.1615
Cl1 Cl 0.0554 0.9335 0.3483
Cl2 Cl 0.0665 0.6517 0.9446
Cl3 Cl 0.1288 0.5786 0.2855
Cl4 Cl 0.2213 0.4715 0.6421
Cl5 Cl 0.2855 0.1288 0.5786
Cl6 Cl 0.3483 0.0554 0.9335
Cl7 Cl 0.3579 0.7787 0.5285
Cl8 Cl 0.4214 0.7145 0.8712
Cl9 Cl 0.4715 0.6421 0.2213
Cl10 Cl 0.5285 0.3579 0.7787
Cl11 Cl 0.5786 0.2855 0.1288
Cl12 Cl 0.6421 0.2213 0.4715
Cl13 Cl 0.6517 0.9446 0.0665
Cl14 Cl 0.7145 0.8712 0.4214
Cl15 Cl 0.7787 0.5285 0.3579
Cl16 Cl 0.8712 0.4214 0.7145
Cl17 Cl 0.9335 0.3483 0.0554
Cl18 Cl 0.9446 0.0665 0.6517
```

## Properties
N(E_F) (states/eV/cell): 7.66
Spin magnetization (μB per atom): 0.077
ΔE_f (raw) (eV/atom): -1.70
Mass density (kg/m³): 3141



No. 8
The following is a DFT calculation (GGA-PBE) of a relaxed structure of KZr2Cl.

```
data_KZr2Cl
_chemical_formula_sum 'K1 Zr2 Cl1'
_cell_length_a 3.2609
_cell_length_b 3.2609
_cell_length_c 11.4771
_cell_angle_alpha 90.00
_cell_angle_beta 90.00
_cell_angle_gamma 121.70
_symmetry_space_group_name_H-M 'P 1'
_symmetry_Int_Tables_number 1
_symmetry_space_group_name_Hall 'P 1'
loop_
_atom_site_label
_atom_site_type_symbol
_atom_site_fract_x
_atom_site_fract_y
_atom_site_fract_z
K1 K 0.0000 0.0000 0.0000
Zr1 Zr 0.5000 0.5000 0.3023
Zr2 Zr 0.5000 0.5000 0.6977
Cl1 Cl 0.0000 0.0000 0.5000
```

## Properties
N(E_F) (states/eV/cell): 4.55
Spin magnetization (μB per atom): 0.000
Polymorph energy (0 for the lowest one) (meV/atom): 607.5
ΔE_f (raw) (eV/atom): 0.14
Mass density (kg/m³): 4110



No. 9
The following is a DFT calculation (GGA-PBE) of a relaxed structure of KZr2Cl.

```
data_KZr2Cl
_chemical_formula_sum 'K1 Zr2 Cl1'
_cell_length_a 5.2303
_cell_length_b 5.2303
_cell_length_c 5.2303
_cell_angle_alpha 60.00
_cell_angle_beta 60.00
_cell_angle_gamma 60.00
_symmetry_space_group_name_H-M 'P 1'
_symmetry_Int_Tables_number 1
_symmetry_space_group_name_Hall 'P 1'
loop_
_atom_site_label
_atom_site_type_symbol
_atom_site_fract_x
_atom_site_fract_y
_atom_site_fract_z
K1 K 0.0000 0.0000 0.0000
Zr1 Zr 0.2500 0.2500 0.2500
Zr2 Zr 0.7500 0.7500 0.7500
Cl1 Cl 0.5000 0.5000 0.5000
```

## Properties
N(E_F) (states/eV/cell): 4.13
Spin magnetization (μB per atom): 0.000
Polymorph energy (0 for the lowest one) (meV/atom): 1517.4
ΔE_f (raw) (eV/atom): 1.05
Mass density (kg/m³): 4218



No. 10
The following is a DFT calculation (GGA-PBE) of a relaxed structure of KZrCl.

```
data_KZrCl
_chemical_formula_sum 'K1 Zr1 Cl1'
_cell_length_a 8.4356
_cell_length_b 8.0991
_cell_length_c 3.4009
_cell_angle_alpha 83.75
_cell_angle_beta 72.63
_cell_angle_gamma 23.63
_symmetry_space_group_name_H-M 'P 1'
_symmetry_Int_Tables_number 1
_symmetry_space_group_name_Hall 'P 1'
loop_
_atom_site_label
_atom_site_type_symbol
_atom_site_fract_x
_atom_site_fract_y
_atom_site_fract_z
K1 K 0.0000 0.0000 0.0000
Zr1 Zr 0.2922 0.2922 0.7078
Cl1 Cl 0.6598 0.6598 0.3402
```

## Properties
N(E_F) (states/eV/cell): 2.49
Spin magnetization (μB per atom): 0.000
Polymorph energy (0 for the lowest one) (meV/atom): 112.1
ΔE_f (raw) (eV/atom): -0.35
Mass density (kg/m³): 3432



Question: What is the N(E_F) in the fourth record?
Answer: 2.05 states/eV/cell